# 1
# AlSb2

A geometry-optimized AlSb2 structure (PBE, Alexandria via LeMat-Bulk).

Unit cell a=6.195 b=6.180 c=6.180 alpha=145.01 beta=145.03 gamma=50.27
Fractional positions:
Al (0.500, 0.500, 0.000)
Sb (0.128, 0.129, 0.999)
Sb (0.872, 0.871, 0.001)

Spin magnetization ... 0.0 μB per formula unit
N(E_F) ... 0.36 states/eV per atom
Calculated total energy ... -11.55 eV for the cell shown
Uncorrected formation energy ... 0.14 eV/atom

# 2
# AlSb2

A geometry-optimized AlSb2 structure (PBE, Alexandria via LeMat-Bulk).

Unit cell a=7.829 b=7.829 c=4.165 alpha=90.00 beta=90.00 gamma=120.00
Fractional positions:
Al (0.333, 0.667, 0.000)
Al (0.667, 0.333, 0.000)
Al (0.000, 0.000, 0.500)
Sb (0.274, 0.000, 0.000)
Sb (0.000, 0.274, 0.000)
Sb (0.726, 0.726, 0.000)
Sb (0.601, 0.000, 0.500)
Sb (0.000, 0.601, 0.500)
Sb (0.399, 0.399, 0.500)

Spin magnetization ... 0.0 μB per formula unit
N(E_F) ... 0.33 states/eV per atom
Calculated total energy ... -34.22 eV for the cell shown
Uncorrected formation energy ... 0.19 eV/atom

# 3
# Al4Sb

A geometry-optimized Al4Sb structure (PBE, Alexandria via LeMat-Bulk).

Unit cell a=5.230 b=5.230 c=5.230 alpha=90.00 beta=90.00 gamma=90.00
Fractional positions:
Sb (0.500, 0.500, 0.500)
Al (0.000, 0.000, 0.000)
Al (0.500, 0.000, 0.500)
Al (0.000, 0.500, 0.500)
Al (0.500, 0.500, 0.000)

Spin magnetization ... 0.0 μB per formula unit
N(E_F) ... 0.94 states/eV per atom
Calculated total energy ... -14.08 eV for the cell shown
Uncorrected formation energy ... 1.00 eV/atom

Repeat the second record exactly.
# AlSb2

A geometry-optimized AlSb2 structure (PBE, Alexandria via LeMat-Bulk).

Unit cell a=7.829 b=7.829 c=4.165 alpha=90.00 beta=90.00 gamma=120.00
Fractional positions:
Al (0.333, 0.667, 0.000)
Al (0.667, 0.333, 0.000)
Al (0.000, 0.000, 0.500)
Sb (0.274, 0.000, 0.000)
Sb (0.000, 0.274, 0.000)
Sb (0.726, 0.726, 0.000)
Sb (0.601, 0.000, 0.500)
Sb (0.000, 0.601, 0.500)
Sb (0.399, 0.399, 0.500)

Spin magnetization ... 0.0 μB per formula unit
N(E_F) ... 0.33 states/eV per atom
Calculated total energy ... -34.22 eV for the cell shown
Uncorrected formation energy ... 0.19 eV/atom

> The highest calculated total energy belongs to which entry?

number 1